Model w:
Below is a relaxed YAl8Co2 crystal, with properties calculated at the PBE-GGA level.

Unit cell a=12.4071 b=14.3696 c=3.9583 alpha=90.00 beta=90.00 gamma=90.00
Fractional coordinates of all 44 atoms:
Y  0.1590  0.1803  0.0000
Y  0.3410  0.6803  0.0000
Y  0.6590  0.3197  0.0000
Y  0.8410  0.8197  0.0000
Al  0.0000  0.0000  0.0000
Al  0.0000  0.5000  0.5000
Al  0.0249  0.8678  0.5000
Al  0.0471  0.3195  0.5000
Al  0.0974  0.7473  0.0000
Al  0.1593  0.4556  0.0000
Al  0.1607  0.6216  0.5000
Al  0.1685  0.0087  0.5000
Al  0.2367  0.8261  0.5000
Al  0.2633  0.3261  0.5000
Al  0.3315  0.5087  0.5000
Al  0.3393  0.1216  0.5000
Al  0.3407  0.9556  0.0000
Al  0.4026  0.2473  0.0000
Al  0.4529  0.8195  0.5000
Al  0.4751  0.3678  0.5000
Al  0.5000  0.0000  0.5000
Al  0.5000  0.5000  0.0000
Al  0.5249  0.6322  0.5000
Al  0.5471  0.1805  0.5000
Al  0.5974  0.7527  0.0000
Al  0.6593  0.0444  0.0000
Al  0.6607  0.8784  0.5000
Al  0.6685  0.4913  0.5000
Al  0.7367  0.6739  0.5000
Al  0.7633  0.1739  0.5000
Al  0.8315  0.9913  0.5000
Al  0.8393  0.3784  0.5000
Al  0.8407  0.5444  0.0000
Al  0.9026  0.2527  0.0000
Al  0.9529  0.6805  0.5000
Al  0.9751  0.1322  0.5000
Co  0.0349  0.5947  0.0000
Co  0.1526  0.9039  0.0000
Co  0.3474  0.4039  0.0000
Co  0.4651  0.0947  0.0000
Co  0.5349  0.9053  0.0000
Co  0.6526  0.5961  0.0000
Co  0.8474  0.0961  0.0000
Co  0.9651  0.4053  0.0000

Calculated density ... 3.978 g cm⁻³
N(E_F) ... 12.282 states/eV/cell

Model x:
Below is a relaxed YAl8Co2 crystal, with properties calculated at the PBE-GGA level.

Unit cell a=5.6112 b=5.6112 c=7.7097 alpha=90.00 beta=90.00 gamma=90.00
Fractional coordinates of all 11 atoms:
Y  0.0000  0.0000  0.0000
Al  0.2499  0.2499  0.3235
Al  0.2499  0.2499  0.6765
Al  0.2499  0.7501  0.3235
Al  0.2499  0.7501  0.6765
Al  0.7501  0.2499  0.3235
Al  0.7501  0.2499  0.6765
Al  0.7501  0.7501  0.3235
Al  0.7501  0.7501  0.6765
Co  0.0000  0.5000  0.5000
Co  0.5000  0.0000  0.5000

Calculated density ... 2.891 g cm⁻³
N(E_F) ... 8.945 states/eV/cell

model w is the most stable structure; the next one sits 533 meV/atom above it.